A relaxed Al2Ag3 crystal. Source: Alexandria via LeMat-Bulk, functional GGA-PBE.

Properties
E_form ... -0.02 eV per atom
N(E_F) ... 1.85 states/eV/f.u.
Final energy ... -3.2315 eV/atom

a b c (Å): 4.1483 6.3920 6.3920
angles (deg): 90.00 90.00 90.00
Positions (direct):
Ag 0.0000 0.4126 0.1977
Ag 0.0000 0.9874 0.0023
Ag 0.5000 0.1023 0.3126
Ag 0.5000 0.7000 0.1000
Ag 0.5000 0.2977 0.8874
Ag 0.0000 0.2000 0.6000
Al 0.5000 0.5040 0.4932
Al 0.0000 0.5932 0.7960
Al 0.5000 0.8960 0.7068
Al 0.0000 0.8068 0.4040



A relaxed AlAg crystal. Source: Alexandria via LeMat-Bulk, functional GGA-PBE.

Properties
E_form ... 0.00 eV per atom
N(E_F) ... 0.50 states/eV/f.u.
Final energy ... -3.2998 eV/atom

a b c (Å): 4.0647 8.7026 4.0802
angles (deg): 103.56 90.00 103.51
Positions (direct):
Ag 0.6294 0.2588 0.1294
Ag 0.9946 0.9893 0.9946
Ag 0.2562 0.5124 0.2562
Ag 0.4988 0.9976 0.4988
Al 0.7487 0.4974 0.7487
Al 0.8748 0.7495 0.3748
Al 0.3744 0.7488 0.8744
Al 0.1231 0.2463 0.6231



A relaxed Al2Ag3 crystal. Source: Alexandria via LeMat-Bulk, functional GGA-PBE.

Properties
E_form ... 0.10 eV per atom
N(E_F) ... 1.92 states/eV/f.u.
Final energy ... -3.1033 eV/atom

a b c (Å): 7.7648 7.7648 5.6735
angles (deg): 46.82 46.82 60.00
Positions (direct):
Ag 0.5639 0.9361 0.2500
Ag 0.9361 0.2500 0.2500
Ag 0.4361 0.0639 0.7500
Ag 0.2500 0.5639 0.2500
Ag 0.7500 0.4361 0.7500
Ag 0.0639 0.7500 0.7500
Al 0.1238 0.1238 0.6286
Al 0.8762 0.8762 0.3714
Al 0.3762 0.3762 0.8714
Al 0.6238 0.6238 0.1286



A relaxed Al5Ag crystal. Source: Alexandria via LeMat-Bulk, functional GGA-PBE.

Properties
E_form ... -0.01 eV per atom
N(E_F) ... 1.54 states/eV/f.u.
Final energy ... -3.5992 eV/atom

a b c (Å): 2.8778 7.1213 4.8989
angles (deg): 89.09 90.00 90.00
Positions (direct):
Ag 0.0000 0.0000 0.0000
Al 0.0000 0.3342 0.6670
Al 0.5000 0.6615 0.8269
Al 0.5000 0.3385 0.1731
Al 0.0000 0.6658 0.3330
Al 0.5000 0.0000 0.5000



A relaxed AlAg crystal. Source: Alexandria via LeMat-Bulk, functional GGA-PBE.

Properties
E_form ... -0.02 eV per atom
N(E_F) ... 0.59 states/eV/f.u.
Final energy ... -3.3124 eV/atom

a b c (Å): 3.0418 11.2921 3.9936
angles (deg): 90.00 90.00 90.00
Positions (direct):
Al 0.0000 0.5002 0.0000
Al 0.5000 0.8748 0.5000
Al 0.0000 0.7433 0.0000
Al 0.5000 0.6317 0.5000
Ag 0.5000 0.1219 0.5000
Ag 0.5000 0.3902 0.5000
Ag 0.0000 0.2531 0.0000
Ag 0.0000 0.9848 0.0000



A relaxed AlAg crystal. Source: Alexandria via LeMat-Bulk, functional GGA-PBE.

Properties
E_form ... -0.04 eV per atom
N(E_F) ... 0.47 states/eV/f.u.
Final energy ... -3.3338 eV/atom

a b c (Å): 2.9715 13.3743 2.9715
angles (deg): 90.00 120.00 90.00
Positions (direct):
Al 0.6667 0.3349 0.3333
Al 0.6667 0.8330 0.3333
Al 0.3333 0.6655 0.6667
Ag 0.3333 0.1732 0.6667
Ag 0.0000 0.5006 0.0000
Ag 0.0000 0.9927 0.0000



A relaxed Al2Ag3 crystal. Source: Alexandria via LeMat-Bulk, functional GGA-PBE.

Properties
E_form ... -0.03 eV per atom
N(E_F) ... 1.02 states/eV/f.u.
Final energy ... -3.2397 eV/atom

a b c (Å): 6.4703 5.7867 4.9423
angles (deg): 74.45 82.19 102.77
Positions (direct):
Ag 0.7913 0.3072 0.5965
Ag 0.0055 0.9921 0.0260
Ag 0.0180 0.5113 0.9814
Ag 0.1990 0.1986 0.4263
Ag 0.5866 0.0862 0.2043
Ag 0.5929 0.6025 0.1759
Al 0.4015 0.3969 0.8004
Al 0.8028 0.8084 0.5975
Al 0.2002 0.6941 0.3985
Al 0.4021 0.9027 0.7932



A relaxed Al3Ag2 crystal. Source: Alexandria via LeMat-Bulk, functional GGA-PBE.

Properties
E_form ... 0.00 eV per atom
N(E_F) ... 2.17 states/eV/f.u.
Final energy ... -3.3834 eV/atom

a b c (Å): 10.4197 2.8845 2.8845
angles (deg): 90.00 97.96 97.96
Positions (direct):
Al 0.5987 0.7993 0.7993
Al 0.2000 0.6000 0.6000
Al 0.8013 0.4007 0.4007
Ag 0.3971 0.1986 0.1986
Ag 0.0029 0.0014 0.0014



A relaxed Al5Ag3 crystal. Source: Alexandria via LeMat-Bulk, functional GGA-PBE.

Properties
E_form ... -0.02 eV per atom
N(E_F) ... 2.53 states/eV/f.u.
Final energy ... -3.4244 eV/atom

a b c (Å): 6.8180 3.0841 6.8180
angles (deg): 90.00 108.87 90.00
Positions (direct):
Ag 0.1172 0.5000 0.3828
Ag 0.5101 0.0000 0.4997
Ag 0.0003 0.0000 0.9899
Al 0.2549 0.0000 0.7492
Al 0.6193 0.5000 0.8807
Al 0.3735 0.5000 0.1265
Al 0.7508 0.0000 0.2451
Al 0.8739 0.5000 0.6261



A relaxed AlAg crystal. Source: Alexandria via LeMat-Bulk, functional GGA-PBE.

Properties
E_form ... -0.02 eV per atom
N(E_F) ... 0.63 states/eV/f.u.
Final energy ... -3.3188 eV/atom

a b c (Å): 9.6944 3.0702 4.8901
angles (deg): 71.70 98.74 90.00
Positions (direct):
Al 0.8841 0.7484 0.5033
Al 0.2449 0.5009 0.9981
Al 0.4940 0.0041 0.9919
Al 0.7469 0.4975 0.0050
Ag 0.6377 0.2469 0.5062
Ag 0.9892 0.0012 0.9977
Ag 0.1257 0.2477 0.5046
Ag 0.3775 0.7534 0.4932



A relaxed Al5Ag crystal. Source: Alexandria via LeMat-Bulk, functional GGA-PBE.

Properties
E_form ... -0.01 eV per atom
N(E_F) ... 2.29 states/eV/f.u.
Final energy ... -3.6041 eV/atom

a b c (Å): 2.8706 14.0597 2.8706
angles (deg): 90.00 120.00 90.00
Positions (direct):
Ag 0.0000 0.0000 0.0000
Al 0.0000 0.5000 0.0000
Al 0.3333 0.6684 0.6667
Al 0.6667 0.3316 0.3333
Al 0.3333 0.1652 0.6667
Al 0.6667 0.8348 0.3333



A relaxed Al5Ag3 crystal. Source: Alexandria via LeMat-Bulk, functional GGA-PBE.

Properties
E_form ... -0.01 eV per atom
N(E_F) ... 2.59 states/eV/f.u.
Final energy ... -3.4154 eV/atom

a b c (Å): 16.2861 2.8852 2.8852
angles (deg): 90.00 90.00 90.00
Positions (direct):
Al 0.6250 0.5000 0.5000
Al 0.5042 0.0000 0.0000
Al 0.8693 0.5000 0.5000
Al 0.7458 0.0000 0.0000
Al 0.3807 0.5000 0.5000
Ag 0.2594 0.0000 0.0000
Ag 0.9906 0.0000 0.0000
Ag 0.1250 0.5000 0.5000



A relaxed AlAg crystal. Source: Alexandria via LeMat-Bulk, functional GGA-PBE.

Properties
E_form ... 0.26 eV per atom
N(E_F) ... 0.79 states/eV/f.u.
Final energy ... -3.0376 eV/atom

a b c (Å): 3.8279 3.8279 3.8279
angles (deg): 60.00 60.00 60.00
Positions (direct):
Ag 0.0000 0.0000 0.0000
Al 0.5000 0.5000 0.5000



A relaxed Al3Ag5 crystal. Source: Alexandria via LeMat-Bulk, functional GGA-PBE.

Properties
E_form ... -0.04 eV per atom
N(E_F) ... 1.80 states/eV/f.u.
Final energy ... -3.2213 eV/atom

a b c (Å): 7.0255 3.0157 7.0255
angles (deg): 90.00 114.34 90.00
Positions (direct):
Ag 0.9845 0.0000 0.9801
Ag 0.7301 0.0000 0.2345
Ag 0.1250 0.5000 0.3750
Ag 0.5199 0.0000 0.5155
Ag 0.2655 0.0000 0.7699
Al 0.3620 0.5000 0.1380
Al 0.8880 0.5000 0.6120
Al 0.6250 0.5000 0.8750



A relaxed Al5Ag3 crystal. Source: Alexandria via LeMat-Bulk, functional GGA-PBE.

Properties
E_form ... -0.01 eV per atom
N(E_F) ... 2.68 states/eV/f.u.
Final energy ... -3.4140 eV/atom

a b c (Å): 4.7474 5.8073 5.3263
angles (deg): 90.31 101.34 71.89
Positions (direct):
Al 0.4994 0.8767 0.7557
Al 0.4975 0.1242 0.2507
Al 0.5025 0.3758 0.7493
Al 0.5006 0.6233 0.2443
Al 0.0000 0.7500 0.5000
Ag 0.0000 0.2500 0.5000
Ag 0.9999 0.5021 0.9963
Ag 0.0001 0.9979 0.0037



A relaxed AlAg2 crystal. Source: Alexandria via LeMat-Bulk, functional GGA-PBE.

Properties
E_form ... -0.06 eV per atom
N(E_F) ... 0.92 states/eV/f.u.
Final energy ... -3.2062 eV/atom

a b c (Å): 5.0121 5.0121 5.4564
angles (deg): 91.85 116.00 119.18
Positions (direct):
Al 0.3388 0.5888 0.2500
Al 0.6612 0.4112 0.7500
Ag 0.0181 0.9249 0.2540
Ag 0.9819 0.0751 0.7460
Ag 0.6709 0.2641 0.2460
Ag 0.3291 0.7359 0.7540



A relaxed AlAg crystal. Source: Alexandria via LeMat-Bulk, functional GGA-PBE.

Properties
E_form ... 0.11 eV per atom
N(E_F) ... 1.05 states/eV/f.u.
Final energy ... -3.1875 eV/atom

a b c (Å): 4.5511 4.5511 8.1750
angles (deg): 90.00 90.00 120.00
Positions (direct):
Al 0.0000 0.0000 0.7500
Al 0.3333 0.6667 0.7500
Al 0.6667 0.3333 0.2500
Al 0.0000 0.0000 0.2500
Ag 0.6667 0.3333 0.9208
Ag 0.3333 0.6667 0.0792
Ag 0.3333 0.6667 0.4208
Ag 0.6667 0.3333 0.5792



A relaxed Al3Ag5 crystal. Source: Alexandria via LeMat-Bulk, functional GGA-PBE.

Properties
E_form ... -0.03 eV per atom
N(E_F) ... 1.94 states/eV/f.u.
Final energy ... -3.2136 eV/atom

a b c (Å): 3.8674 5.9322 5.9322
angles (deg): 90.00 90.00 90.00
Positions (direct):
Ag 0.0000 0.9948 0.9948
Ag 0.5000 0.2500 0.2500
Ag 0.0000 0.5052 0.5052
Ag 0.0000 0.5052 0.9948
Ag 0.0000 0.9948 0.5052
Al 0.5000 0.2500 0.7500
Al 0.5000 0.7500 0.2500
Al 0.5000 0.7500 0.7500



A relaxed Al5Ag3 crystal. Source: Alexandria via LeMat-Bulk, functional GGA-PBE.

Properties
E_form ... -0.01 eV per atom
N(E_F) ... 3.35 states/eV/f.u.
Final energy ... -3.4230 eV/atom

a b c (Å): 2.8948 18.7134 2.8948
angles (deg): 94.44 60.00 94.44
Positions (direct):
Al 0.2503 0.7509 0.2503
Al 0.4993 0.4978 0.4993
Al 0.8745 0.6234 0.8745
Al 0.7502 0.2506 0.7502
Al 0.6254 0.8763 0.6254
Ag 0.3766 0.1299 0.3766
Ag 0.1247 0.3742 0.1247
Ag 0.9990 0.9970 0.9990



A relaxed Al5Ag crystal. Source: Alexandria via LeMat-Bulk, functional GGA-PBE.

Properties
E_form ... 0.06 eV per atom
N(E_F) ... 3.02 states/eV/f.u.
Final energy ... -3.5355 eV/atom

a b c (Å): 4.8912 4.8912 4.9558
angles (deg): 90.00 90.00 120.00
Positions (direct):
Al 0.6667 0.6667 0.5000
Al 0.3333 0.6631 0.0000
Al 0.9964 0.0000 0.0000
Al 0.6702 0.3369 0.0000
Al 0.0000 0.3333 0.5000
Ag 0.3333 0.0000 0.5000